A plane-wave DFT calculation with PBE was carried out for an optimized crystal structure of RbBaEu.

Cell lengths 4.2641, 4.2641, 10.8671 Å; angles 101.31, 101.31, 90.00 degrees
Closest atoms and distances in Å follow each position.
Element x y z (fractional)
Rb  0.9951  0.9951  0.9902  4 Rb 4.26, 4 Eu 4.67
Ba  0.6804  0.6804  0.3608  4 Eu 4.26, 4 Ba 4.26
Eu  0.3245  0.3245  0.6490  4 Ba 4.26, 4 Eu 4.26, 4 Rb 4.67

- Total magnetic moment: 7.87 Bohr magnetons per cell
- E_form: 146 meV/atom
- DOS(E_F): 12.04 states/eV/f.u.